Entry 1:
Below is a relaxed FeBIr3 crystal, with properties calculated at the GGA-PBEsol level.

For the magnetic moment, the calculation gives 0.0 μB/cell. For the formation enthalpy at 0 K, the calculation gives 2.367 eV/atom.

a = 4.355 Å, b = 4.355 Å, c = 4.355 Å
α = 90.00°, β = 90.00°, γ = 90.00°
Space group Pm-3m (No. 221)
Symmetry-distinct sites (fractional):
1 Fe 0.000 0.000 0.000 x1
2 B 0.500 0.500 0.500 x1
3 Ir 0.000 0.000 0.500 x3

Entry 2:
Below is a relaxed CuSnF6 crystal, with properties calculated at the GGA-PBEsol level.

As for the formation energy without anion corrections: -2.084 eV per atom. For the magnetic moment, the calculation gives 3.0 μB/cell.

a = 5.1157 Å, b = 5.1157 Å, c = 13.8719 Å
α = 90.00°, β = 90.00°, γ = 120.00°
Space group R-3 (No. 148, hexagonal axes)
Symmetry-distinct sites (fractional):
1 Cu 0.0000 0.0000 0.0000 x3
2 Sn 0.0000 0.0000 0.5000 x3
3 F 0.0005 0.3687 0.7504 x18

Entry 3:
Below is a relaxed SiP2RhAu crystal, with properties calculated at the GGA-PBEsol level.

As for the formation energy without anion corrections: 0.605 eV per atom. For the magnetic moment, the calculation gives 0.0 μB/cell.

a = 4.502 Å, b = 4.502 Å, c = 4.599 Å
α = 90.00°, β = 90.00°, γ = 90.00°
Space group P4/mmm (No. 123)
Symmetry-distinct sites (fractional):
1 Si 0.000 0.000 0.000 x1
2 P 0.000 0.500 0.500 x2
3 Rh 0.000 0.000 0.500 x1
4 Au 0.500 0.500 0.000 x1

Entry 4:
Below is a relaxed ErAg3 crystal, with properties calculated at the GGA-PBEsol level.

For the magnetic moment, the calculation gives 0.0 μB/cell. For the formation enthalpy at 0 K, the calculation gives -0.231 eV/atom.

a = 6.0682 Å, b = 6.0682 Å, c = 4.8002 Å
α = 90.00°, β = 90.00°, γ = 120.00°
Space group P6_3/mmc (No. 194)
Symmetry-distinct sites (fractional):
1 Er 0.3333 0.6667 0.2500 x2
2 Ag 0.1589 0.3177 0.7500 x6

Entry 5:
Below is a relaxed La2AlSb crystal, with properties calculated at the GGA-PBEsol level.

As for the formation energy without anion corrections: -0.663 eV per atom. For the magnetic moment, the calculation gives 0.0 μB/cell.

a = 4.981 Å, b = 4.981 Å, c = 4.399 Å
α = 90.00°, β = 90.00°, γ = 90.00°
Space group P4/mmm (No. 123)
Symmetry-distinct sites (fractional):
1 La 0.000 0.500 0.000 x2
2 Al 0.000 0.000 0.500 x1
3 Sb 0.500 0.500 0.500 x1

Entry 6:
Below is a relaxed MgMoOs2I crystal, with properties calculated at the GGA-PBEsol level.

As for the formation energy without anion corrections: 2.705 eV per atom. For the magnetic moment, the calculation gives 1.3 μB/cell.

a = 4.551 Å, b = 4.551 Å, c = 4.855 Å
α = 90.00°, β = 90.00°, γ = 90.00°
Space group P4/mmm (No. 123)
Symmetry-distinct sites (fractional):
1 Mg 0.000 0.000 0.000 x1
2 Mo 0.500 0.500 0.500 x1
3 Os 0.000 0.500 0.000 x2
4 I 0.000 0.000 0.500 x1

Entry 7:
Below is a relaxed SrRe2Tc crystal, with properties calculated at the GGA-PBEsol level.

For the magnetic moment, the calculation gives 0.0 μB/cell. For the formation enthalpy at 0 K, the calculation gives 0.937 eV/atom.

a = 2.989 Å, b = 5.065 Å, c = 9.540 Å
α = 90.00°, β = 90.00°, γ = 90.00°
Space group Imm2 (No. 44)
Symmetry-distinct sites (fractional):
1 Sr 0.000 0.000 0.000 x2
2 Re 0.000 0.000 0.498 x2
3 Re 0.000 0.500 0.213 x2
4 Tc 0.000 0.500 0.784 x2

Entry 8:
Below is a relaxed NaTaSeN2 crystal, with properties calculated at the GGA-PBEsol level.

As for the formation energy without anion corrections: -0.199 eV per atom. For the magnetic moment, the calculation gives 1.5 μB/cell.

a = 4.047 Å, b = 4.047 Å, c = 5.198 Å
α = 90.00°, β = 90.00°, γ = 90.00°
Space group P4/mmm (No. 123)
Symmetry-distinct sites (fractional):
1 Na 0.000 0.000 0.000 x1
2 Ta 0.500 0.500 0.500 x1
3 Se 0.500 0.500 0.000 x1
4 N 0.000 0.500 0.500 x2

Entry 9:
Below is a relaxed CaTa2Cd crystal, with properties calculated at the GGA-PBEsol level.

For the magnetic moment, the calculation gives 0.0 μB/cell. For the formation enthalpy at 0 K, the calculation gives 0.509 eV/atom.

a = 3.209 Å, b = 4.760 Å, c = 5.306 Å
α = 90.00°, β = 90.00°, γ = 90.00°
Space group Pmmm (No. 47)
Symmetry-distinct sites (fractional):
1 Ca 0.000 0.000 0.000 x1
2 Ta 0.000 0.500 0.500 x1
3 Ta 0.500 0.000 0.500 x1
4 Cd 0.500 0.500 0.000 x1

Entry 10:
Below is a relaxed ScMnC3 crystal, with properties calculated at the GGA-PBEsol level.

For the magnetic moment, the calculation gives 0.0 μB/cell. For the formation enthalpy at 0 K, the calculation gives 0.919 eV/atom.

a = 3.699 Å, b = 3.699 Å, c = 3.699 Å
α = 90.00°, β = 90.00°, γ = 90.00°
Space group Pm-3m (No. 221)
Symmetry-distinct sites (fractional):
1 Sc 0.000 0.000 0.000 x1
2 Mn 0.500 0.500 0.500 x1
3 C 0.000 0.500 0.500 x3

Entry 11:
Below is a relaxed AgSnO3 crystal, with properties calculated at the GGA-PBEsol level.

As for the formation energy without anion corrections: -0.156 eV per atom. For the magnetic moment, the calculation gives 0.0 μB/cell.

a = 3.998 Å, b = 3.998 Å, c = 3.998 Å
α = 90.00°, β = 90.00°, γ = 90.00°
Space group Pm-3m (No. 221)
Symmetry-distinct sites (fractional):
1 Ag 0.000 0.000 0.000 x1
2 Sn 0.500 0.500 0.500 x1
3 O 0.000 0.000 0.500 x3

Entry 12:
Below is a relaxed Cr3SbP6O24 crystal, with properties calculated at the GGA-PBEsol level.

As for the formation energy without anion corrections: -1.965 eV per atom. For the magnetic moment, the calculation gives 15.0 μB/cell.

a = 8.2345 Å, b = 8.2345 Å, c = 21.7259 Å
α = 90.00°, β = 90.00°, γ = 120.00°
Space group R3 (No. 146, hexagonal axes)
Symmetry-distinct sites (fractional):
1 Cr 0.0000 0.0000 0.0000 x3
2 Cr 0.0000 0.0000 0.2128 x3
3 Cr 0.0000 0.0000 0.7178 x3
4 Sb 0.0000 0.0000 0.5041 x3
5 P 0.0015 0.2873 0.6095 x9
6 P 0.0577 0.6753 0.7755 x9
7 O 0.0198 0.1904 0.9508 x9
8 O 0.0762 0.2165 0.2612 x9
9 O 0.0852 0.2261 0.5556 x9
10 O 0.1498 0.6681 0.7153 x9
11 O 0.1526 0.4755 0.3351 x9
12 O 0.1608 0.6824 0.4353 x9
13 O 0.1944 0.7509 0.1183 x9
14 O 0.1970 0.7420 0.8292 x9

Entry 13:
Below is a relaxed Y2NbHgSb crystal, with properties calculated at the GGA-PBEsol level.

As for the formation energy without anion corrections: 0.946 eV per atom. For the magnetic moment, the calculation gives 4.2 μB/cell.

a = 5.478 Å, b = 5.478 Å, c = 5.318 Å
α = 90.00°, β = 90.00°, γ = 90.00°
Space group P4/mmm (No. 123)
Symmetry-distinct sites (fractional):
1 Y 0.000 0.500 0.000 x2
2 Nb 0.000 0.000 0.500 x1
3 Hg 0.500 0.500 0.000 x1
4 Sb 0.500 0.500 0.500 x1

Entry 14:
Below is a relaxed ZrPH crystal, with properties calculated at the GGA-PBEsol level.

Its total energy is -7.1775 eV per atom. For the magnetic moment, the calculation gives 0.0 μB/cell.

a = 3.5268 Å, b = 3.5268 Å, c = 3.4782 Å
α = 90.00°, β = 90.00°, γ = 120.00°
Space group P-6m2 (No. 187)
Symmetry-distinct sites (fractional):
1 Zr 0.0000 0.0000 0.0000 x1
2 P 0.3333 0.6667 0.5000 x1
3 H 0.6667 0.3333 0.0000 x1

Entry 15:
Below is a relaxed AgHg2AsO4 crystal, with properties calculated at the GGA-PBEsol level.

As for the formation energy without anion corrections: -0.698 eV per atom. For the magnetic moment, the calculation gives 0.0 μB/cell.

a = 8.765 Å, b = 9.589 Å, c = 6.302 Å
α = 90.00°, β = 90.00°, γ = 90.00°
Space group Pbam (No. 55)
Symmetry-distinct sites (fractional):
1 Ag 0.029 0.143 0.000 x4
2 Hg 0.238 0.968 0.211 x8
3 As 0.032 0.712 0.500 x4
4 O 0.066 0.301 0.266 x8
5 O 0.116 0.874 0.500 x4
6 O 0.169 0.581 0.500 x4

Entry 16:
Below is a relaxed Sr2Ti6O13 crystal, with properties calculated at the GGA-PBEsol level.

As for the formation energy without anion corrections: -3.098 eV per atom. For the magnetic moment, the calculation gives 0.0 μB/cell.

a = 14.495 Å, b = 3.888 Å, c = 9.086 Å
α = 90.00°, β = 97.62°, γ = 90.00°
Space group C2/m (No. 12)
Symmetry-distinct sites (fractional):
1 Sr 0.051 0.000 0.285 x4
2 Ti 0.122 0.500 0.602 x4
3 Ti 0.164 0.500 0.945 x4
4 Ti 0.246 0.500 0.272 x4
5 O 0.000 0.500 0.500 x2
6 O 0.064 0.500 0.802 x4
7 O 0.123 0.000 0.619 x4
8 O 0.125 0.500 0.125 x4
9 O 0.171 0.500 0.419 x4
10 O 0.197 0.000 0.933 x4
11 O 0.244 0.500 0.750 x4

Entry 17:
Below is a relaxed Co2PWI crystal, with properties calculated at the GGA-PBEsol level.

As for the formation energy without anion corrections: 0.804 eV per atom. For the magnetic moment, the calculation gives 2.2 μB/cell.

a = 4.203 Å, b = 4.203 Å, c = 4.584 Å
α = 90.00°, β = 90.00°, γ = 90.00°
Space group P4/mmm (No. 123)
Symmetry-distinct sites (fractional):
1 Co 0.000 0.500 0.000 x2
2 P 0.000 0.000 0.000 x1
3 W 0.000 0.000 0.500 x1
4 I 0.500 0.500 0.500 x1

Entry 18:
Below is a relaxed Pr3TaO7 crystal, with properties calculated at the GGA-PBEsol level.

As for the formation energy without anion corrections: -3.298 eV per atom. For the magnetic moment, the calculation gives 0.0 μB/cell.

a = 11.004 Å, b = 7.473 Å, c = 7.676 Å
α = 90.00°, β = 90.00°, γ = 90.00°
Space group Cmcm (No. 63)
Symmetry-distinct sites (fractional):
1 Pr 0.000 0.000 0.000 x4
2 Pr 0.225 0.300 0.250 x8
3 Ta 0.000 0.500 0.000 x4
4 O 0.000 0.430 0.250 x4
5 O 0.126 0.313 0.536 x16
6 O 0.130 0.024 0.250 x8

Entry 19:
Below is a relaxed LiMgIr2 crystal, with properties calculated at the GGA-PBEsol level.

For the magnetic moment, the calculation gives 0.0 μB/cell. For the formation enthalpy at 0 K, the calculation gives -0.035 eV/atom.

a = 5.181 Å, b = 8.161 Å, c = 2.691 Å
α = 90.00°, β = 90.00°, γ = 90.00°
Space group Cmmm (No. 65)
Symmetry-distinct sites (fractional):
1 Li 0.000 0.000 0.000 x2
2 Mg 0.000 0.500 0.000 x2
3 Ir 0.250 0.250 0.500 x4

Entry 20:
Below is a relaxed CdHgPb3 crystal, with properties calculated at the GGA-PBEsol level.

For the magnetic moment, the calculation gives 0.0 μB/cell. For the formation enthalpy at 0 K, the calculation gives 0.524 eV/atom.

a = 5.620 Å, b = 5.620 Å, c = 5.620 Å
α = 90.00°, β = 90.00°, γ = 90.00°
Space group Pm-3m (No. 221)
Symmetry-distinct sites (fractional):
1 Cd 0.000 0.000 0.000 x1
2 Hg 0.500 0.500 0.500 x1
3 Pb 0.000 0.500 0.500 x3

Entry 21:
Below is a relaxed SiNiPt crystal, with properties calculated at the GGA-PBEsol level.

As for the formation energy without anion corrections: -0.216 eV per atom. For the magnetic moment, the calculation gives 0.0 μB/cell.

a = 5.544 Å, b = 5.544 Å, c = 5.544 Å
α = 90.00°, β = 90.00°, γ = 90.00°
Space group F-43m (No. 216)
Symmetry-distinct sites (fractional):
1 Si 0.000 0.000 0.000 x4
2 Ni 0.250 0.250 0.750 x4
3 Pt 0.000 0.000 0.500 x4

Entry 22:
Below is a relaxed LiZnW crystal, with properties calculated at the GGA-PBEsol level.

For the magnetic moment, the calculation gives 0.0 μB/cell. For the formation enthalpy at 0 K, the calculation gives 1.205 eV/atom.

a = 5.751 Å, b = 5.751 Å, c = 5.751 Å
α = 90.00°, β = 90.00°, γ = 90.00°
Space group F-43m (No. 216)
Symmetry-distinct sites (fractional):
1 Li 0.000 0.000 0.000 x4
2 Zn 0.250 0.250 0.250 x4
3 W 0.000 0.000 0.500 x4

Entry 23:
Below is a relaxed InHgRh crystal, with properties calculated at the GGA-PBEsol level.

For the magnetic moment, the calculation gives 0.0 μB/cell. For the formation enthalpy at 0 K, the calculation gives -0.055 eV/atom.

a = 3.101 Å, b = 3.682 Å, c = 9.467 Å
α = 90.00°, β = 90.00°, γ = 90.00°
Space group Imm2 (No. 44)
Symmetry-distinct sites (fractional):
1 In 0.000 0.000 0.000 x2
2 Hg 0.000 0.000 0.310 x2
3 Rh 0.000 0.000 0.637 x2

Entry 24:
Below is a relaxed CoSiAs2Se crystal, with properties calculated at the GGA-PBEsol level.

As for the formation energy without anion corrections: 0.519 eV per atom. For the magnetic moment, the calculation gives 0.0 μB/cell.

a = 4.352 Å, b = 4.352 Å, c = 5.050 Å
α = 90.00°, β = 90.00°, γ = 90.00°
Space group P4/mmm (No. 123)
Symmetry-distinct sites (fractional):
1 Co 0.000 0.000 0.000 x1
2 Si 0.500 0.500 0.500 x1
3 As 0.000 0.500 0.000 x2
4 Se 0.000 0.000 0.500 x1